No. 1
PBE LiPrNdZn, relaxed; space-group type = P4mm (99); ΔH_f (0 K) = -119 meV/atom; distance to the lowest polymorph of the same formula = 0.0 meV per atom; V = 26.7 Å³ per atom
1.0
3.773 0.000 0.000
0.000 3.773 0.000
0.000 0.000 7.511
Li Pr Nd Zn
1 1 1 1
Cartesian
0.000 0.000 0.000
1.886 1.886 5.482
1.886 1.886 1.989
0.000 0.000 3.708

No. 2
PBE AcSm2Sn, relaxed; space-group type = R-3m (166); ΔH_f (0 K) = -191 meV/atom; distance to the lowest polymorph of the same formula = 184.9 meV per atom; V = 33.8 Å³ per atom
1.0
3.740 0.000 0.000
-1.870 3.239 0.000
0.000 0.000 33.523
Ac Sm Sn
3 6 3
Cartesian
0.000 0.000 0.000
0.000 2.159 22.348
1.870 1.080 11.174
0.000 0.000 8.130
0.000 0.000 25.393
0.000 2.159 14.218
0.000 2.159 30.478
1.870 1.080 3.044
1.870 1.080 19.304
0.000 0.000 16.761
0.000 2.159 5.587
1.870 1.080 27.936

No. 3
PBE DyMgZn5Cu2, relaxed; space-group type = P4/mmm (123); ΔH_f (0 K) = -53 meV/atom; V = 17.4 Å³ per atom
1.0
4.607 0.000 0.000
0.000 4.607 0.000
0.000 0.000 7.359
Dy Mg Zn Cu
1 1 5 2
Cartesian
0.000 0.000 0.000
0.000 0.000 3.680
0.000 2.304 1.850
0.000 2.304 5.510
2.304 0.000 1.850
2.304 0.000 5.510
2.304 2.304 0.000
2.304 2.304 2.505
2.304 2.304 4.854

No. 4
PBE ErPuTh2, relaxed; space-group type = R-3m (166); ΔH_f (0 K) = 277 meV/atom; distance to the lowest polymorph of the same formula = 187.9 meV per atom; V = 31.3 Å³ per atom
1.0
3.445 0.000 0.000
-1.723 2.984 0.000
0.000 0.000 36.517
Er Pu Th
3 3 6
Cartesian
0.000 0.000 0.000
0.000 1.989 24.345
1.723 0.995 12.172
0.000 0.000 18.258
0.000 1.989 6.086
1.723 0.995 30.431
0.000 0.000 15.120
0.000 0.000 21.397
0.000 1.989 2.948
0.000 1.989 9.225
1.723 0.995 27.292
1.723 0.995 33.569

No. 5
PBE RbTe2PtI, relaxed; space-group type = P4/mmm (123); distance to the lowest polymorph of the same formula = 1678.3 meV per atom; V = 60.6 Å³ per atom; E_form (uncorrected) = 1390.0 meV/atom
1.0
6.767 0.000 0.000
0.000 6.767 0.000
0.000 0.000 6.616
Rb Te Pt I
1 2 1 1
Cartesian
0.000 0.000 0.000
0.000 3.383 0.000
3.383 0.000 0.000
3.383 3.383 3.308
0.000 0.000 3.308

No. 6
PBE KTiI3, relaxed; space-group type = Pm-3m (221); V = 38.5 Å³ per atom; E_form (uncorrected) = -843.1 meV/atom
1.0
5.776 0.000 0.000
0.000 5.776 0.000
0.000 0.000 5.776
K Ti I
1 1 3
Cartesian
0.000 0.000 0.000
2.888 2.888 2.888
0.000 2.888 2.888
2.888 0.000 2.888
2.888 2.888 0.000